1.
Density functional theory data (PBE-GGA) for a relaxed YAs2Rh5 crystal.

Properties
Symmetry = No. 71
Size of the total moment = 0.00 μB/cell
Electronic total energy = -7.186 eV/atom
Formation energy = -4.97 eV per formula unit
DOS at the Fermi energy = 5.43 states/eV/f.u.

Unit cell a=6.295 b=6.295 c=6.295 alpha=143.92 beta=112.25 gamma=79.24
Element x y z (fractional)
Y1 0.000 0.000 0.000
As1 0.252 0.752 0.500
As2 0.748 0.248 0.500
Rh1 0.158 0.356 0.801
Rh2 0.445 0.644 0.801
Rh3 0.500 0.000 0.500
Rh4 0.555 0.356 0.199
Rh5 0.842 0.644 0.199

=====

2.
Density functional theory data (PBE-GGA) for a relaxed KNaCa2I6 crystal.

Properties
E_form (uncorrected) = -1.491 eV/atom
Symmetry = No. 146
Size of the total moment = 0.00 μB/cell
Electronic total energy = -3.063 eV/atom
DOS at the Fermi energy = 0.00 states/eV/f.u.

Unit cell a=8.677 b=8.677 c=8.677 alpha=56.86 beta=56.86 gamma=56.86
Element x y z (fractional)
K1 0.000 0.000 0.000
Na1 0.512 0.512 0.512
Ca1 0.202 0.202 0.202
Ca2 0.708 0.708 0.708
I1 0.091 0.443 0.817
I2 0.349 0.936 0.559
I3 0.443 0.817 0.091
I4 0.559 0.349 0.936
I5 0.817 0.091 0.443
I6 0.936 0.559 0.349

=====

3.
Density functional theory data (PBE-GGA) for a relaxed LiCu5Ni2 crystal.

Properties
E above lowest polymorph = 0.0000 eV/atom
Symmetry = No. 11
Size of the total moment = 0.00 μB/cell
Electronic total energy = -4.154 eV/atom
Formation energy = 0.73 eV per formula unit
DOS at the Fermi energy = 4.96 states/eV/f.u.

Unit cell a=2.557 b=11.859 c=6.246 alpha=90.00 beta=90.02 gamma=90.00
Element x y z (fractional)
Li1 0.249 0.250 0.457
Li2 0.751 0.750 0.543
Cu1 0.249 0.750 0.896
Cu2 0.250 0.047 0.161
Cu3 0.250 0.453 0.161
Cu4 0.250 0.585 0.499
Cu5 0.250 0.915 0.499
Cu6 0.750 0.085 0.501
Cu7 0.750 0.415 0.501
Cu8 0.750 0.547 0.839
Cu9 0.750 0.953 0.839
Cu10 0.751 0.250 0.104
Ni1 0.251 0.146 0.816
Ni2 0.251 0.354 0.816
Ni3 0.749 0.646 0.184
Ni4 0.749 0.854 0.184

=====

The highest electronic total energy belongs to which entry? KNaCa2I6

=====

Copy entry 2 word for word.
Density functional theory data (PBE-GGA) for a relaxed KNaCa2I6 crystal.

Properties
E_form (uncorrected) = -1.491 eV/atom
Symmetry = No. 146
Size of the total moment = 0.00 μB/cell
Electronic total energy = -3.063 eV/atom
DOS at the Fermi energy = 0.00 states/eV/f.u.

Unit cell a=8.677 b=8.677 c=8.677 alpha=56.86 beta=56.86 gamma=56.86
Element x y z (fractional)
K1 0.000 0.000 0.000
Na1 0.512 0.512 0.512
Ca1 0.202 0.202 0.202
Ca2 0.708 0.708 0.708
I1 0.091 0.443 0.817
I2 0.349 0.936 0.559
I3 0.443 0.817 0.091
I4 0.559 0.349 0.936
I5 0.817 0.091 0.443
I6 0.936 0.559 0.349